Compound: AgMoSe2
Source: Alexandria
Functional: SCAN
Structure: PBEsol geometry

Cell lengths 3.243, 4.552, 4.552 Å; angles 90.00, 90.00, 90.00 degrees
Each line ends with the local moment (μB).
Atoms (fractional coordinates):
Ag (0.500, 0.500, 0.500)  0.04
Mo (0.500, 0.000, 0.000)  2.27
Se (0.000, 0.000, 0.500)  -0.01
Se (0.000, 0.500, 0.000)  -0.01

Results
DOS at the Fermi energy: 2.301 states/eV/f.u.
energy above the most stable polymorph in this dataset: 0 meV/atom
space group: P4/mmm, No. 123
size of the total moment: 2.46 Bohr magnetons per cell
E_form (uncorrected): 0.361 eV/atom
theoretical density: 8.94 g cm⁻³
calculated volume: 16.80 Å³/atom

Compound: Si2AgMo
Source: Alexandria
Functional: SCAN
Structure: PBEsol geometry

Cell lengths 3.646, 3.646, 5.040 Å; angles 111.21, 111.21, 90.00 degrees
Atoms (fractional coordinates):
Ag (0.500, 0.500, 0.000)
Mo (0.250, 0.750, 0.500)
Si (0.000, 0.000, 0.000)
Si (0.750, 0.250, 0.500)

Results
DOS at the Fermi energy: 2.437 states/eV/f.u.
energy above the most stable polymorph in this dataset: 125 meV/atom
space group: I-4m2, No. 119
size of the total moment: 0.00 Bohr magnetons per cell
E_form (uncorrected): 0.258 eV/atom
theoretical density: 7.50 g cm⁻³
calculated volume: 14.39 Å³/atom

Compound: Si2AgMo
Source: Alexandria
Functional: SCAN
Structure: PBEsol geometry

Cell lengths 3.884, 3.884, 4.708 Å; angles 114.36, 114.36, 90.00 degrees
Each line ends with the local moment (μB).
Atoms (fractional coordinates):
Ag (0.500, 0.500, 0.000)  -0.01
Mo (0.000, 0.000, 0.000)  0.65
Si (0.750, 0.250, 0.500)  -0.02
Si (0.250, 0.750, 0.500)  -0.02

Results
DOS at the Fermi energy: 1.145 states/eV/f.u.
energy above the most stable polymorph in this dataset: 147 meV/atom
space group: I4/mmm, No. 139
size of the total moment: 0.64 Bohr magnetons per cell
E_form (uncorrected): 0.280 eV/atom
theoretical density: 7.48 g cm⁻³
calculated volume: 14.42 Å³/atom

Compound: Si2AgMo
Source: Alexandria
Functional: SCAN
Structure: PBEsol geometry

Cell lengths 2.745, 2.745, 8.015 Å; angles 90.00, 90.00, 90.00 degrees
Atoms (fractional coordinates):
Ag (0.500, 0.500, 0.000)
Mo (0.500, 0.500, 0.500)
Si (0.000, 0.000, 0.726)
Si (0.000, 0.000, 0.274)

Results
DOS at the Fermi energy: 2.352 states/eV/f.u.
energy above the most stable polymorph in this dataset: 216 meV/atom
space group: P4/mmm, No. 123
size of the total moment: 0.00 Bohr magnetons per cell
E_form (uncorrected): 0.349 eV/atom
theoretical density: 7.15 g cm⁻³
calculated volume: 15.10 Å³/atom

Compound: Si2AgMo
Source: Alexandria
Functional: SCAN
Structure: PBEsol geometry

Cell lengths 3.191, 3.191, 5.738 Å; angles 90.00, 90.00, 90.00 degrees
Atoms (fractional coordinates):
Ag (0.500, 0.500, 0.000)
Mo (0.500, 0.500, 0.500)
Si (0.000, 0.000, 0.723)
Si (0.000, 0.000, 0.277)

Results
DOS at the Fermi energy: 2.303 states/eV/f.u.
energy above the most stable polymorph in this dataset: 0 meV/atom
space group: P4/mmm, No. 123
size of the total moment: 0.00 Bohr magnetons per cell
E_form (uncorrected): 0.133 eV/atom
theoretical density: 7.39 g cm⁻³
calculated volume: 14.61 Å³/atom

Compound: TlAgSn2Mo
Source: Alexandria
Functional: SCAN
Structure: PBEsol geometry

Cell lengths 5.162, 5.162, 5.305 Å; angles 90.00, 90.00, 90.00 degrees
Each line ends with the local moment (μB).
Atoms (fractional coordinates):
Mo (0.000, 0.000, 0.000)  1.05
Tl (0.000, 0.000, 0.500)  0.01
Sn (0.000, 0.500, 0.000)  -0.02
Sn (0.500, 0.000, 0.000)  -0.02
Ag (0.500, 0.500, 0.500)  0.15

Results
DOS at the Fermi energy: 2.754 states/eV/f.u.
space group: P4/mmm, No. 123
size of the total moment: 1.32 Bohr magnetons per cell
formation enthalpy at 0 K: 0.6194 eV/atom
theoretical density: 7.58 g cm⁻³
calculated volume: 28.27 Å³/atom

Compound: SrAgMo3
Source: Alexandria
Functional: SCAN
Structure: PBEsol geometry

Cell lengths 4.887, 4.887, 4.887 Å; angles 90.00, 90.00, 90.00 degrees
Atoms (fractional coordinates):
Sr (0.500, 0.500, 0.500)
Mo (0.000, 0.500, 0.000)
Mo (0.000, 0.000, 0.500)
Mo (0.500, 0.000, 0.000)
Ag (0.000, 0.000, 0.000)

Results
DOS at the Fermi energy: 8.400 states/eV/f.u.
space group: Pm-3m, No. 221
size of the total moment: 0.01 Bohr magnetons per cell
formation enthalpy at 0 K: 2.2868 eV/atom
theoretical density: 6.88 g cm⁻³
calculated volume: 23.34 Å³/atom

Compound: SrAgMo2
Source: Alexandria
Functional: SCAN
Structure: PBEsol geometry

Cell lengths 2.979, 4.729, 6.154 Å; angles 112.59, 104.01, 90.00 degrees
Atoms (fractional coordinates):
Ag (0.000, 0.500, 0.000)
Mo (0.728, 0.728, 0.457)
Mo (0.272, 0.272, 0.543)
Sr (0.500, 0.000, 0.000)

Results
DOS at the Fermi energy: 2.859 states/eV/f.u.
energy above the most stable polymorph in this dataset: 0 meV/atom
space group: Immm, No. 71
size of the total moment: 0.00 Bohr magnetons per cell
formation enthalpy at 0 K: 0.8740 eV/atom
theoretical density: 8.33 g cm⁻³
calculated volume: 19.32 Å³/atom

Compound: SrAg3Mo
Source: Alexandria
Functional: SCAN
Structure: PBEsol geometry

Cell lengths 5.051, 5.051, 5.051 Å; angles 90.00, 90.00, 90.00 degrees
Each line ends with the local moment (μB).
Atoms (fractional coordinates):
Sr (0.500, 0.500, 0.500)  -0.02
Mo (0.000, 0.000, 0.000)  2.90
Ag (0.000, 0.500, 0.000)  0.16
Ag (0.000, 0.000, 0.500)  0.16
Ag (0.500, 0.000, 0.000)  0.16

Results
DOS at the Fermi energy: 2.260 states/eV/f.u.
space group: Pm-3m, No. 221
size of the total moment: 3.44 Bohr magnetons per cell
formation enthalpy at 0 K: 0.8013 eV/atom
theoretical density: 6.54 g cm⁻³
calculated volume: 25.77 Å³/atom

Compound: Sr2AgMo
Source: Alexandria
Functional: SCAN
Structure: PBEsol geometry

Cell lengths 4.601, 4.601, 6.066 Å; angles 112.29, 112.29, 90.00 degrees
Each line ends with the local moment (μB).
Atoms (fractional coordinates):
Ag (0.500, 0.500, 0.000)  -0.01
Mo (0.250, 0.750, 0.500)  3.31
Sr (0.000, 0.000, 0.000)  0.02
Sr (0.750, 0.250, 0.500)  0.01

Results
DOS at the Fermi energy: 3.307 states/eV/f.u.
space group: I-4m2, No. 119
size of the total moment: 3.74 Bohr magnetons per cell
formation enthalpy at 0 K: 0.7499 eV/atom
theoretical density: 5.81 g cm⁻³
calculated volume: 27.10 Å³/atom

Compound: SrAgMo2
Source: Alexandria
Functional: SCAN
Structure: PBEsol geometry

Cell lengths 3.023, 4.350, 6.723 Å; angles 90.00, 90.00, 90.00 degrees
Atoms (fractional coordinates):
Ag (0.500, 0.500, 0.500)
Mo (0.000, 0.000, 0.658)
Mo (0.000, 0.000, 0.342)
Sr (0.500, 0.500, 0.000)

Results
DOS at the Fermi energy: 3.411 states/eV/f.u.
energy above the most stable polymorph in this dataset: 44 meV/atom
space group: Pmmm, No. 47
size of the total moment: 0.00 Bohr magnetons per cell
formation enthalpy at 0 K: 0.9181 eV/atom
theoretical density: 7.28 g cm⁻³
calculated volume: 22.10 Å³/atom

Compound: TaAg2Mo
Source: Alexandria
Functional: SCAN
Structure: PBEsol geometry

Cell lengths 3.509, 3.509, 5.389 Å; angles 90.00, 90.00, 90.00 degrees
Atoms (fractional coordinates):
Ag (0.000, 0.000, 0.752)
Ag (0.000, 0.000, 0.248)
Mo (0.500, 0.500, 0.000)
Ta (0.500, 0.500, 0.500)

Results
DOS at the Fermi energy: 3.248 states/eV/f.u.
energy above the most stable polymorph in this dataset: 321 meV/atom
space group: P4/mmm, No. 123
size of the total moment: 0.00 Bohr magnetons per cell
formation enthalpy at 0 K: 0.7169 eV/atom
theoretical density: 12.33 g cm⁻³
calculated volume: 16.59 Å³/atom

Compound: TaAg2Mo
Source: Alexandria
Functional: SCAN
Structure: PBEsol geometry

Cell lengths 3.360, 4.147, 4.664 Å; angles 90.00, 90.00, 90.00 degrees
Atoms (fractional coordinates):
Ag (0.000, 0.000, 0.000)
Ag (0.500, 0.500, 0.000)
Mo (0.500, 0.000, 0.500)
Ta (0.000, 0.500, 0.500)

Results
DOS at the Fermi energy: 2.975 states/eV/f.u.
energy above the most stable polymorph in this dataset: 0 meV/atom
space group: Pmmm, No. 47
size of the total moment: 0.00 Bohr magnetons per cell
formation enthalpy at 0 K: 0.3964 eV/atom
theoretical density: 12.59 g cm⁻³
calculated volume: 16.24 Å³/atom

Compound: TaAg2Mo
Source: Alexandria
Functional: SCAN
Structure: PBEsol geometry

Cell lengths 2.680, 5.379, 5.393 Å; angles 115.61, 96.62, 105.50 degrees
Atoms (fractional coordinates):
Ag (0.000, 0.000, 0.500)
Ag (0.500, 0.500, 0.500)
Mo (0.500, 0.000, 0.000)
Ta (0.000, 0.500, 0.000)

Results
DOS at the Fermi energy: 2.643 states/eV/f.u.
energy above the most stable polymorph in this dataset: 30 meV/atom
space group: C2/m, No. 12
size of the total moment: 0.00 Bohr magnetons per cell
formation enthalpy at 0 K: 0.4267 eV/atom
theoretical density: 12.56 g cm⁻³
calculated volume: 16.28 Å³/atom

Compound: TcAg2Mo
Source: Alexandria
Functional: SCAN
Structure: PBEsol geometry

Cell lengths 2.962, 2.962, 7.346 Å; angles 90.00, 90.00, 90.00 degrees
Atoms (fractional coordinates):
Ag (0.000, 0.000, 0.995)
Ag (0.500, 0.500, 0.251)
Mo (0.000, 0.000, 0.532)
Tc (0.500, 0.500, 0.721)

Results
DOS at the Fermi energy: 3.386 states/eV/f.u.
energy above the most stable polymorph in this dataset: 0 meV/atom
space group: P4mm, No. 99
size of the total moment: 0.00 Bohr magnetons per cell
formation enthalpy at 0 K: 0.3571 eV/atom
theoretical density: 10.56 g cm⁻³
calculated volume: 16.11 Å³/atom

Compound: TcAgMo
Source: Alexandria
Functional: SCAN
Structure: PBEsol geometry

Cell lengths 2.617, 4.478, 4.478 Å; angles 120.00, 90.00, 90.00 degrees
Atoms (fractional coordinates):
Ag (0.002, 0.000, 0.000)
Mo (0.611, 0.333, 0.667)
Tc (0.387, 0.667, 0.333)

Results
DOS at the Fermi energy: 1.302 states/eV/f.u.
space group: P3m1, No. 156
size of the total moment: 0.00 Bohr magnetons per cell
formation enthalpy at 0 K: 0.3726 eV/atom
theoretical density: 11.03 g cm⁻³
calculated volume: 15.14 Å³/atom